DFT (GGA-PBEsol) results for K2RbInCu after structural relaxation.

ΔH_f (0 K), eV/atom: 0.266
Theoretical density, g/cm³: 2.49
Spin magnetization, μB per cell: 0.00

Geometry as CIF:
```
data_K2RbInCu
_chemical_formula_sum 'K2 Rb1 In1 Cu1'
_cell_length_a 5.001
_cell_length_b 6.747
_cell_length_c 6.747
_cell_angle_alpha 90.00
_cell_angle_beta 90.00
_cell_angle_gamma 90.00
_space_group_name_H-M_alt 'P 1'
_space_group_IT_number 1
loop_
_space_group_symop_operation_xyz
'x,y,z'
loop_
_atom_site_label
_atom_site_fract_x
_atom_site_fract_y
_atom_site_fract_z
K1 0.000 0.000 0.500
K2 0.000 0.500 0.000
In1 0.000 0.000 0.000
Cu1 0.500 0.000 0.000
Rb1 0.500 0.500 0.500
```

DFT (GGA-PBEsol) results for LaInCu2 after structural relaxation.

ΔH_f (0 K), eV/atom: -0.176
Theoretical density, g/cm³: 7.50
Spin magnetization, μB per cell: 0.00

Geometry as CIF:
```
data_LaInCu2
_chemical_formula_sum 'La1 In1 Cu2'
_cell_length_a 4.249
_cell_length_b 4.249
_cell_length_c 5.925
_cell_angle_alpha 68.99
_cell_angle_beta 68.99
_cell_angle_gamma 60.00
_space_group_name_H-M_alt 'P 1'
_space_group_IT_number 1
loop_
_space_group_symop_operation_xyz
'x,y,z'
loop_
_atom_site_label
_atom_site_fract_x
_atom_site_fract_y
_atom_site_fract_z
Cu1 0.949 0.949 0.154
Cu2 0.275 0.275 0.175
In1 0.540 0.540 0.379
La1 0.740 0.740 0.781
```

DFT (GGA-PBEsol) results for La2InCu2 after structural relaxation.

ΔH_f (0 K), eV/atom: -0.321
Theoretical density, g/cm³: 7.45
Spin magnetization, μB per cell: 0.00

Geometry as CIF:
```
data_La2InCu2
_chemical_formula_sum 'La4 In2 Cu4'
_cell_length_a 3.920
_cell_length_b 7.687
_cell_length_c 7.687
_cell_angle_alpha 90.00
_cell_angle_beta 90.00
_cell_angle_gamma 90.00
_space_group_name_H-M_alt 'P 1'
_space_group_IT_number 1
loop_
_space_group_symop_operation_xyz
'x,y,z'
loop_
_atom_site_label
_atom_site_fract_x
_atom_site_fract_y
_atom_site_fract_z
La1 0.500 0.677 0.823
La2 0.500 0.323 0.177
La3 0.500 0.177 0.677
In1 0.000 0.500 0.500
Cu1 0.000 0.883 0.617
Cu2 0.000 0.383 0.883
Cu3 0.000 0.117 0.383
Cu4 0.000 0.617 0.117
In2 0.000 0.000 0.000
La4 0.500 0.823 0.323
```

DFT (GGA-PBEsol) results for LaIn2Cu9 after structural relaxation.

ΔH_f (0 K), eV/atom: -0.148
Theoretical density, g/cm³: 8.95
Spin magnetization, μB per cell: 0.00

Geometry as CIF:
```
data_LaIn2Cu9
_chemical_formula_sum 'La2 In4 Cu18'
_cell_length_a 4.933
_cell_length_b 8.409
_cell_length_c 8.409
_cell_angle_alpha 90.00
_cell_angle_beta 90.00
_cell_angle_gamma 90.00
_space_group_name_H-M_alt 'P 1'
_space_group_IT_number 1
loop_
_space_group_symop_operation_xyz
'x,y,z'
loop_
_atom_site_label
_atom_site_fract_x
_atom_site_fract_y
_atom_site_fract_z
Cu1 0.752 0.324 0.824
Cu2 0.500 0.434 0.293
Cu3 0.248 0.176 0.324
In1 0.000 0.377 0.123
Cu4 0.500 0.000 0.500
In2 0.000 0.123 0.623
Cu5 0.500 0.207 0.066
Cu6 0.752 0.176 0.324
Cu7 0.248 0.324 0.824
In3 0.000 0.623 0.877
Cu8 0.500 0.293 0.566
Cu9 0.500 0.793 0.934
Cu10 0.752 0.824 0.676
Cu11 0.248 0.824 0.676
Cu12 0.500 0.566 0.707
Cu13 0.500 0.066 0.793
Cu14 0.752 0.676 0.176
La1 0.000 0.500 0.500
Cu15 0.248 0.676 0.176
Cu16 0.500 0.500 0.000
La2 0.000 0.000 0.000
Cu17 0.500 0.934 0.207
Cu18 0.500 0.707 0.434
In4 0.000 0.877 0.377
```

DFT (GGA-PBEsol) results for LaInCu2 after structural relaxation.

ΔH_f (0 K), eV/atom: -0.017
Theoretical density, g/cm³: 7.95
Spin magnetization, μB per cell: 0.00

Geometry as CIF:
```
data_LaInCu2
_chemical_formula_sum 'La1 In1 Cu2'
_cell_length_a 3.455
_cell_length_b 4.798
_cell_length_c 4.798
_cell_angle_alpha 90.00
_cell_angle_beta 90.00
_cell_angle_gamma 90.00
_space_group_name_H-M_alt 'P 1'
_space_group_IT_number 1
loop_
_space_group_symop_operation_xyz
'x,y,z'
loop_
_atom_site_label
_atom_site_fract_x
_atom_site_fract_y
_atom_site_fract_z
In1 0.500 0.500 0.500
Cu1 0.000 0.000 0.500
La1 0.500 0.000 0.000
Cu2 0.000 0.500 0.000
```

DFT (GGA-PBEsol) results for La2InCuS5 after structural relaxation.

ΔE_f (raw), eV/atom: -1.489
Theoretical density, g/cm³: 5.49
Spin magnetization, μB per cell: 0.00

Geometry as CIF:
```
data_La2InCuS5
_chemical_formula_sum 'La8 In4 Cu4 S20'
_cell_length_a 3.925
_cell_length_b 11.475
_cell_length_c 16.577
_cell_angle_alpha 90.00
_cell_angle_beta 90.00
_cell_angle_gamma 90.00
_space_group_name_H-M_alt 'P 1'
_space_group_IT_number 1
loop_
_space_group_symop_operation_xyz
'x,y,z'
loop_
_atom_site_label
_atom_site_fract_x
_atom_site_fract_y
_atom_site_fract_z
S1 0.750 0.102 0.928
La1 0.250 0.638 0.907
In1 0.250 0.192 0.360
S2 0.250 0.182 0.117
S3 0.750 0.318 0.617
Cu1 0.250 0.584 0.500
La2 0.750 0.519 0.322
S4 0.250 0.398 0.428
Cu2 0.750 0.916 0.000
S5 0.250 0.898 0.072
Cu3 0.750 0.416 0.500
S6 0.750 0.818 0.883
In2 0.750 0.808 0.640
In3 0.750 0.308 0.860
S7 0.750 0.516 0.805
In4 0.250 0.692 0.140
La3 0.250 0.981 0.822
Cu4 0.250 0.084 0.000
S8 0.750 0.760 0.229
S9 0.750 0.602 0.572
La4 0.250 0.481 0.678
S10 0.250 0.889 0.538
S11 0.250 0.682 0.383
S12 0.250 0.740 0.729
La5 0.750 0.862 0.407
S13 0.750 0.111 0.462
S14 0.750 0.260 0.271
La6 0.250 0.138 0.593
La7 0.750 0.362 0.093
S15 0.250 0.389 0.962
S16 0.250 0.484 0.195
S17 0.250 0.984 0.305
S18 0.750 0.016 0.695
S19 0.250 0.240 0.771
S20 0.750 0.611 0.038
La8 0.750 0.019 0.178
```

DFT (GGA-PBEsol) results for La2InCuSe5 after structural relaxation.

ΔE_f (raw), eV/atom: -1.333
Theoretical density, g/cm³: 6.66
Spin magnetization, μB per cell: 0.00

Geometry as CIF:
```
data_La2InCuSe5
_chemical_formula_sum 'La8 In4 Cu4 Se20'
_cell_length_a 4.084
_cell_length_b 12.069
_cell_length_c 17.228
_cell_angle_alpha 90.00
_cell_angle_beta 90.00
_cell_angle_gamma 90.00
_space_group_name_H-M_alt 'P 1'
_space_group_IT_number 1
loop_
_space_group_symop_operation_xyz
'x,y,z'
loop_
_atom_site_label
_atom_site_fract_x
_atom_site_fract_y
_atom_site_fract_z
La1 0.250 0.640 0.906
In1 0.750 0.312 0.862
In2 0.250 0.688 0.138
Se1 0.750 0.104 0.925
Cu1 0.750 0.927 0.002
Se2 0.250 0.241 0.771
Se3 0.750 0.259 0.271
In3 0.750 0.812 0.638
Cu2 0.250 0.073 0.998
La2 0.750 0.360 0.094
Se4 0.750 0.106 0.463
Se5 0.750 0.519 0.805
Se6 0.250 0.896 0.075
Se7 0.250 0.894 0.537
Se8 0.250 0.981 0.305
La3 0.250 0.140 0.594
Se9 0.750 0.820 0.885
Se10 0.250 0.481 0.195
La4 0.750 0.860 0.406
Se11 0.750 0.759 0.229
La5 0.250 0.481 0.677
Se12 0.250 0.741 0.729
Se13 0.250 0.680 0.385
Se14 0.750 0.019 0.695
Se15 0.750 0.606 0.037
La6 0.750 0.519 0.323
Se16 0.250 0.180 0.115
Se17 0.750 0.604 0.575
Cu3 0.250 0.573 0.502
Se18 0.250 0.394 0.963
In4 0.250 0.188 0.362
Se19 0.250 0.396 0.425
La7 0.750 0.019 0.177
Cu4 0.750 0.427 0.498
La8 0.250 0.981 0.823
Se20 0.750 0.320 0.615
```

DFT (GGA-PBEsol) results for Li2InCu after structural relaxation.

ΔH_f (0 K), eV/atom: -0.141
Theoretical density, g/cm³: 5.15
Spin magnetization, μB per cell: 0.00

Geometry as CIF:
```
data_Li2InCu
_chemical_formula_sum 'Li2 In1 Cu1'
_cell_length_a 3.859
_cell_length_b 3.859
_cell_length_c 4.974
_cell_angle_alpha 112.82
_cell_angle_beta 112.82
_cell_angle_gamma 90.00
_space_group_name_H-M_alt 'P 1'
_space_group_IT_number 1
loop_
_space_group_symop_operation_xyz
'x,y,z'
loop_
_atom_site_label
_atom_site_fract_x
_atom_site_fract_y
_atom_site_fract_z
Cu1 0.500 0.500 0.000
Li1 0.750 0.250 0.500
Li2 0.250 0.750 0.500
In1 0.000 0.000 0.000
```